No. 1
# Ti3NbSn3, optimized geometry, DFT PBE-GGA
data_Ti3NbSn3
_chemical_formula_sum 'Ti6 Nb2 Sn6'
_space_group_name_H-M_alt 'P 63/m m c'
_space_group_IT_number 194
_space_group_name_Hall '-P 6c 2c'
_cell_length_a 9.0628
_cell_length_b 9.0628
_cell_length_c 4.1848
_cell_angle_alpha 90.00
_cell_angle_beta 90.00
_cell_angle_gamma 120.00
loop_
_atom_site_label
_atom_site_fract_x
_atom_site_fract_y
_atom_site_fract_z
_atom_site_occupancy
Ti1 0.1099 0.5550 0.2500 1
Nb1 0.3333 0.6667 0.7500 1
Sn1 0.1537 0.3074 0.7500 1
# DFT total energy	-91.58	eV per cell
# crystal system	hexagonal
# energy above the most stable polymorph in this dataset	71	kJ/mol of formula units
# DFT formation energy	-3.5	meV per atom
# theoretical density	6.61	g/cm3

No. 2
# Ti3NbSn2, optimized geometry, DFT PBE-GGA
data_Ti3NbSn2
_chemical_formula_sum 'Ti12 Nb4 Sn8'
_space_group_name_H-M_alt 'P n m a'
_space_group_IT_number 62
_space_group_name_Hall '-P 2ac 2n'
_cell_length_a 7.664
_cell_length_b 3.283
_cell_length_c 18.095
_cell_angle_alpha 90.00
_cell_angle_beta 90.00
_cell_angle_gamma 90.00
loop_
_atom_site_label
_atom_site_fract_x
_atom_site_fract_y
_atom_site_fract_z
_atom_site_occupancy
Ti1 0.014 0.250 0.156 1
Ti2 0.127 0.250 0.301 1
Ti3 0.136 0.750 0.040 1
Nb1 0.060 0.750 0.563 1
Sn1 0.184 0.250 0.692 1
Sn2 0.240 0.250 0.920 1
# DFT total energy	-170.32	eV per cell
# crystal system	orthorhombic
# energy above the most stable polymorph in this dataset	108	kJ/mol of formula units
# DFT formation energy	-136.5	meV per atom
# theoretical density	6.91	g/cm3